Record 1
DFT (PBE) results for an optimized crystal structure of LiSiTe2.

The space group is Cmmm (No. 65) and the conventional cell measures 4.107, 5.848 and 8.028 Å, with angles of 90.00, 90.00 and 90.00 degrees. The asymmetric unit holds Li at (0.000, 0.000, 0.000), Si at (0.000, 0.000, 0.500) and Te at (0.000, 0.500, 0.254).

The total energy is -3.379 eV per atom. The energy above the lowest structure with this stoichiometry comes out at 323 meV per atom. The value obtained for the calculated density is 5.00 g/cm3. The density of states at the Fermi level is 4.1 states/eV/cell.

Record 2
DFT (PBE) results for an optimized crystal structure of Nd6Dy3Tm2Mg.

The space group is C2/m (No. 12) and the conventional cell measures 6.232, 10.799 and 11.745 Å, with angles of 90.00, 100.23 and 90.00 degrees. The asymmetric unit holds Nd at (0.248, 0.167, 0.247), Nd at (0.249, 0.500, 0.248), Dy at (0.000, 0.167, 0.500), Dy at (0.000, 0.500, 0.500), Tm at (0.000, 0.334, 0.000) and Mg at (0.000, 0.000, 0.000).

The total energy is -4.387 eV per atom. The value obtained for the calculated density is 7.32 g/cm3. The density of states at the Fermi level is 24.3 states/eV/cell.